Entry 1:
DFT (PBE) results for an optimized crystal structure of Nd2AsPRh6.

Results
**Energy relative to the elements**: -16.1 kcal/mol of atoms
**Fermi-level density of states**: 9.2 states/eV per cell

Cell: 5.838 8.687 7.371 Å, 90.00 90.00 90.00°
Element x y z (fractional)
1 Nd 0.250 0.023 0.228
2 Nd 0.250 0.477 0.228
3 Nd 0.750 0.523 0.772
4 Nd 0.750 0.977 0.772
5 As 0.250 0.750 0.781
6 As 0.750 0.250 0.219
7 P 0.250 0.250 0.732
8 P 0.750 0.750 0.268
9 Rh 0.016 0.750 0.053
10 Rh 0.018 0.750 0.486
11 Rh 0.250 0.501 0.631
12 Rh 0.250 0.999 0.631
13 Rh 0.482 0.750 0.486
14 Rh 0.484 0.750 0.053
15 Rh 0.516 0.250 0.947
16 Rh 0.518 0.250 0.514
17 Rh 0.750 0.001 0.369
18 Rh 0.750 0.499 0.369
19 Rh 0.982 0.250 0.514
20 Rh 0.984 0.250 0.947

Entry 2:
DFT (PBE) results for an optimized crystal structure of SrCuSi2.

Results
**Uncorrected energy**: -3.88 eV per atom
**Fermi-level density of states**: 1.5 states/eV per cell

Cell: 5.193 5.193 5.193 Å, 130.32 130.32 72.89°
Element x y z (fractional)
1 Sr 0.000 0.000 0.000
2 Cu 0.250 0.750 0.500
3 Si 0.500 0.500 0.000
4 Si 0.750 0.250 0.500

Entry 3:
DFT (PBE) results for an optimized crystal structure of TbHg2.

Results
**Energy relative to the elements**: -9.7 kcal/mol of atoms
**Fermi-level density of states**: 2.7 states/eV per cell

Cell: 5.184 5.184 6.362 Å, 90.00 90.00 120.00°
Element x y z (fractional)
1 Tb 0.333 0.667 0.250
2 Tb 0.667 0.333 0.750
3 Hg 0.000 0.000 0.000
4 Hg 0.000 0.000 0.500
5 Hg 0.333 0.667 0.750
6 Hg 0.667 0.333 0.250